A geometry-optimized NaLa3Tl structure. Source: Alexandria, functional PBE.

abc: 6.166 6.166 6.166
angles: 90.00 90.00 90.00
Space group Pm-3m (No. 221)
Symmetry-distinct sites (fractional):
Na 0.000 0.000 0.000 (multiplicity 1)
La 0.000 0.500 0.500 (multiplicity 3)
Tl 0.500 0.500 0.500 (multiplicity 1)

Calculated values
Energy relative to the lowest polymorph listed for this composition = 0 meV per atom
Calculated volume = 46.9 Å³ per atom